--- 1 ---
The following is a DFT calculation (GGA-PBE) of a relaxed structure of TeAsSe.

Structure (extended XYZ):
```
3
Lattice="4.8865 0.0000 0.0000 2.4433 4.2319 0.0000 2.4433 1.4106 3.9898" Properties=species:S:1:pos:R:3 pbc="T T T"
As 0.0000 0.0000 0.0000
Se 4.8865 2.8212 1.9949
Te 7.3298 4.2319 2.9924
```

Computed properties:
As for the symmetry: F-43m. The density of states at the Fermi level is 2.86 states/eV per cell.

--- 2 ---
The following is a DFT calculation (GGA-PBE) of a relaxed structure of TeAsSe.

Structure (extended XYZ):
```
6
Lattice="4.0432 0.0000 0.0000 2.0216 8.1336 -1.7140 2.0216 -0.7946 5.9547" Properties=species:S:1:pos:R:3 pbc="T T T"
Te 4.0432 4.4943 0.9964
Te 4.0432 2.8447 3.2443
Se 2.0216 0.0115 4.4612
Se 6.0648 7.3275 -0.2205
As 2.0216 1.0018 2.2814
As 6.0648 6.3373 1.9593
```

Computed properties:
As for the symmetry: C2/m.

Of them, 2 has the highest stability.

--- 1 ---
The following is a DFT calculation (GGA-PBE) of a relaxed structure of TeAsSe.

Structure (extended XYZ):
```
3
Lattice="7.4253 -0.0030 0.0000 5.6230 4.8494 0.0000 -6.5241 -2.4232 2.5881" Properties=species:S:1:pos:R:3 pbc="T T T"
Te 9.0400 3.3577 0.0000
As 11.5041 4.2729 0.0000
Se 5.5524 2.0623 0.0000
```

Computed properties:
As for the symmetry: I4mm. The density of states at the Fermi level is 1.71 states/eV per cell.

--- 2 ---
The following is a DFT calculation (GGA-PBE) of a relaxed structure of TeAsSe.

Structure (extended XYZ):
```
3
Lattice="4.8463 0.0000 0.0000 2.4231 4.1970 0.0000 2.4231 1.3990 3.9570" Properties=species:S:1:pos:R:3 pbc="T T T"
Se 0.0000 0.0000 0.0000
Te 4.8463 2.7980 1.9785
As 7.2694 4.1970 2.9677
```

Computed properties:
As for the symmetry: F-43m. The density of states at the Fermi level is 2.55 states/eV per cell.

--- 3 ---
The following is a DFT calculation (GGA-PBE) of a relaxed structure of TeAsSe.

Structure (extended XYZ):
```
3
Lattice="5.9025 -0.0443 -0.0732 3.1324 5.0029 0.0732 -4.4631 -2.5782 2.8774" Properties=species:S:1:pos:R:3 pbc="T T T"
Te 5.6872 3.1213 0.0000
As 0.6285 0.3449 0.0000
Se 2.7191 1.4923 0.0000
```

Computed properties:
As for the symmetry: Imm2. The density of states at the Fermi level is 3.19 states/eV per cell.

--- 4 ---
The following is a DFT calculation (GGA-PBE) of a relaxed structure of TeAsSe.

Structure (extended XYZ):
```
3
Lattice="3.7073 0.0000 0.0000 -1.8537 3.2106 0.0000 0.0000 0.0000 6.8604" Properties=species:S:1:pos:R:3 pbc="T T T"
As 1.8537 1.0702 2.1657
Te 0.0000 2.1404 4.0975
Se 0.0000 0.0000 0.5971
```

Computed properties:
As for the symmetry: P3m1. The density of states at the Fermi level is 1.90 states/eV per cell.

Of them, 4 has the highest stability.

--- 1 ---
The following is a DFT calculation (GGA-PBE) of a relaxed structure of TeAsSe3.

Structure (extended XYZ):
```
10
Lattice="-3.3037 0.6329 -1.8162 -3.6265 -0.1642 6.5394 1.2846 9.6298 1.0189" Properties=species:S:1:pos:R:3 pbc="T T T"
Te -3.8135 2.1669 1.6572
Te -1.8320 7.9316 4.0848
Se -4.0262 9.7465 4.6854
Se -3.5146 6.3386 6.5903
Se -2.6126 3.2085 3.8588
Se -2.1309 3.7598 -0.8483
Se -3.0329 6.8899 1.8832
Se -1.6193 0.3519 1.0567
As -1.6871 8.2893 -0.0772
As -3.9583 1.8092 5.8192
```

Computed properties:
As for the symmetry: P2_1/m. The density of states at the Fermi level is 3.27 states/eV per cell.

--- 2 ---
The following is a DFT calculation (GGA-PBE) of a relaxed structure of TeAsSe3.

Structure (extended XYZ):
```
5
Lattice="-4.5733 -0.8868 -1.9346 2.0814 -0.9074 -4.5043 0.4439 -4.8821 1.1886" Properties=species:S:1:pos:R:3 pbc="T T T"
Se 0.2219 -2.4410 0.5943
Se 1.0407 -0.4537 -2.2522
Se -2.2867 -0.4434 -0.9673
Te -1.0240 -3.3381 -2.6252
As 0.0000 0.0000 0.0000
```

Computed properties:
As for the symmetry: Pm-3m. The density of states at the Fermi level is 5.22 states/eV per cell.

--- 3 ---
The following is a DFT calculation (GGA-PBE) of a relaxed structure of TeAsSe3.

Structure (extended XYZ):
```
5
Lattice="5.3208 0.0000 0.0000 0.0000 5.3208 0.0000 0.0000 0.0000 5.3208" Properties=species:S:1:pos:R:3 pbc="T T T"
Se 0.0000 0.0000 2.6604
Se 0.0000 2.6604 0.0000
Se 2.6604 0.0000 0.0000
Te 0.0000 0.0000 0.0000
As 2.6604 2.6604 2.6604
```

Computed properties:
As for the symmetry: Pm-3m. The density of states at the Fermi level is 4.23 states/eV per cell.

Of them, 1 has the highest stability.

--- 1 ---
The following is a DFT calculation (GGA-PBE) of a relaxed structure of TeAsSe4.

Structure (extended XYZ):
```
6
Lattice="0.0000 4.0547 4.0547 4.0547 0.0000 4.0547 4.0547 4.0547 0.0000" Properties=species:S:1:pos:R:3 pbc="T T T"
As 0.0000 0.0000 0.0000
Se 3.0328 5.0766 5.0766
Se 5.0766 3.0328 5.0766
Se 5.0766 5.0766 3.0328
Se 3.0328 3.0328 3.0328
Te 6.0821 6.0821 6.0821
```

Computed properties:
As for the symmetry: F-43m. The density of states at the Fermi level is 5.58 states/eV per cell.

--- 2 ---
The following is a DFT calculation (GGA-PBE) of a relaxed structure of TeAsSe4.

Structure (extended XYZ):
```
6
Lattice="-0.9567 -2.5602 -2.6031 8.7550 -1.1514 0.6510 -4.7982 -2.1957 3.9230" Properties=species:S:1:pos:R:3 pbc="T T T"
Te -2.8774 -2.3779 0.6599
Se -2.2041 -2.5947 3.3619
Se 5.2041 -3.3126 -1.3911
Se 3.1816 -3.2244 2.0019
Se -0.1815 -2.6828 -0.0311
As 0.0000 0.0000 0.0000
```

Computed properties:
As for the symmetry: C2/m. The density of states at the Fermi level is 2.78 states/eV per cell.

Of them, 2 has the highest stability.

--- 1 ---
The following is a DFT calculation (GGA-PBE) of a relaxed structure of TeAs3Se.

Structure (extended XYZ):
```
5
Lattice="5.0509 0.0000 0.0000 0.0000 5.0509 0.0000 0.0000 0.0000 5.0509" Properties=species:S:1:pos:R:3 pbc="T T T"
Te 2.5255 2.5255 2.5255
As 0.0000 0.0000 2.5255
As 0.0000 2.5255 0.0000
As 2.5255 0.0000 0.0000
Se 0.0000 0.0000 0.0000
```

Computed properties:
As for the symmetry: Pm-3m. The density of states at the Fermi level is 4.87 states/eV per cell.

--- 2 ---
The following is a DFT calculation (GGA-PBE) of a relaxed structure of TeAs3Se.

Structure (extended XYZ):
```
5
Lattice="5.3130 0.0000 0.0000 0.0000 5.3130 0.0000 0.0000 0.0000 5.3130" Properties=species:S:1:pos:R:3 pbc="T T T"
As 0.0000 2.6565 0.0000
As 2.6565 0.0000 0.0000
As 0.0000 0.0000 2.6565
Te 0.0000 0.0000 0.0000
Se 2.6565 2.6565 2.6565
```

Computed properties:
As for the symmetry: Pm-3m. The density of states at the Fermi level is 7.38 states/eV per cell.

Of them, 1 has the highest stability.

--- 1 ---
The following is a DFT calculation (GGA-PBE) of a relaxed structure of YTeAsSe2.

Structure (extended XYZ):
```
5
Lattice="-1.5056 4.4054 2.6469 -3.5835 -2.8769 2.7500 3.8808 -1.0513 3.9572" Properties=species:S:1:pos:R:3 pbc="T T T"
Y 0.0000 0.0000 0.0000
Se -0.7528 2.2027 1.3234
Se -1.7917 -1.4385 1.3750
Te -0.6042 0.2386 4.6770
As 1.9404 -0.5256 1.9786
```

Computed properties:
As for the symmetry: P4/mmm. The density of states at the Fermi level is 7.53 states/eV per cell.

--- 2 ---
The following is a DFT calculation (GGA-PBE) of a relaxed structure of YTeAsSe2.

Structure (extended XYZ):
```
5
Lattice="5.2781 0.0000 0.0000 0.0000 5.2781 0.0000 0.0000 0.0000 5.2322" Properties=species:S:1:pos:R:3 pbc="T T T"
Y 2.6391 2.6391 2.6161
As 0.0000 0.0000 2.6161
Se 0.0000 2.6391 0.0000
Se 2.6391 0.0000 0.0000
Te 0.0000 0.0000 0.0000
```

Computed properties:
As for the symmetry: P4/mmm. The density of states at the Fermi level is 2.12 states/eV per cell.

Of them, 2 has the highest stability.

--- 1 ---
The following is a DFT calculation (GGA-PBE) of a relaxed structure of ZrTeAs2Se.

Structure (extended XYZ):
```
5
Lattice="5.1834 0.0000 0.0000 0.0000 5.1834 0.0000 0.0000 0.0000 5.1778" Properties=species:S:1:pos:R:3 pbc="T T T"
Se 0.0000 0.0000 2.5889
As 2.5917 0.0000 0.0000
As 0.0000 2.5917 0.0000
Te 0.0000 0.0000 0.0000
Zr 2.5917 2.5917 2.5889
```

Computed properties:
As for the symmetry: P4/mmm. The density of states at the Fermi level is 4.90 states/eV per cell.

--- 2 ---
The following is a DFT calculation (GGA-PBE) of a relaxed structure of ZrTeAs2Se.

Structure (extended XYZ):
```
5
Lattice="-1.0139 -4.8288 1.9845 2.0640 -2.2277 -4.3660 4.5378 -0.0588 2.1752" Properties=species:S:1:pos:R:3 pbc="T T T"
Te 2.7939 -3.5577 -0.1031
As 1.0320 -1.1138 -2.1830
As -0.5069 -2.4144 0.9923
Se 2.2689 -0.0294 1.0876
Zr 0.0000 0.0000 0.0000
```

Computed properties:
As for the symmetry: P4/mmm. The density of states at the Fermi level is 5.89 states/eV per cell.

Of them, 2 has the highest stability.

--- 1 ---
The following is a DFT calculation (GGA-PBE) of a relaxed structure of Th4As3Se.

Structure (extended XYZ):
```
8
Lattice="6.0005 0.0000 0.0000 0.0000 6.0005 0.0000 0.0000 0.0000 6.0005" Properties=species:S:1:pos:R:3 pbc="T T T"
Th 0.0000 0.0000 3.0003
Th 3.0003 0.0000 0.0000
Th 0.0000 3.0003 0.0000
Th 3.0003 3.0003 3.0003
As 3.0003 3.0003 0.0000
As 3.0003 0.0000 3.0003
As 0.0000 3.0003 3.0003
Se 0.0000 0.0000 0.0000
```

Computed properties:
As for the symmetry: Pm-3m. The density of states at the Fermi level is 9.18 states/eV per cell.

--- 2 ---
The following is a DFT calculation (GGA-PBE) of a relaxed structure of Th4As3Se.

Structure (extended XYZ):
```
8
Lattice="-3.0646 2.5027 1.5597 -2.3560 0.5379 -5.4923 -4.8356 -6.7990 1.4085" Properties=species:S:1:pos:R:3 pbc="T T T"
Th -3.5958 -3.1306 -2.0419
Th -2.7600 -0.4749 1.1375
Th -1.1780 0.2690 -2.7462
Th -5.1402 -3.8214 1.8307
As -2.4178 -3.3995 0.7042
As -6.3403 -3.5836 -0.9090
As -3.9159 -0.1748 -1.6152
Se 0.0000 0.0000 0.0000
```

Computed properties:
As for the symmetry: Pmmm. The density of states at the Fermi level is 6.43 states/eV per cell.

Of them, 2 has the highest stability.

--- 1 ---
The following is a DFT calculation (GGA-PBE) of a relaxed structure of Th2AsSe.

Structure (extended XYZ):
```
4
Lattice="5.1660 0.0000 0.0000 2.5830 4.4739 0.0000 2.5830 1.4913 4.2180" Properties=species:S:1:pos:R:3 pbc="T T T"
As 0.0000 0.0000 0.0000
Th 7.7490 4.4739 3.1635
Th 2.5830 1.4913 1.0545
Se 5.1660 2.9826 2.1090
```

Computed properties:
As for the symmetry: Fm-3m. The density of states at the Fermi level is 4.74 states/eV per cell.

--- 2 ---
The following is a DFT calculation (GGA-PBE) of a relaxed structure of Th2AsSe.

Structure (extended XYZ):
```
4
Lattice="-3.7628 1.5574 0.1664 -3.0864 -2.2719 1.3873 -0.9481 2.2368 7.5408" Properties=species:S:1:pos:R:3 pbc="T T T"
Th -1.2621 1.6547 5.8892
Th -1.9713 0.3399 2.1583
Se -3.8950 0.7679 4.5666
As -5.5158 1.7576 8.5686
```

Computed properties:
As for the symmetry: R3m. The density of states at the Fermi level is 3.37 states/eV per cell.

--- 3 ---
The following is a DFT calculation (GGA-PBE) of a relaxed structure of Th2AsSe.

Structure (extended XYZ):
```
4
Lattice="-2.7019 -3.0792 1.0491 0.4145 -3.8481 -1.7039 3.3820 -4.1701 4.9930" Properties=species:S:1:pos:R:3 pbc="T T T"
Th 0.2520 -2.7646 1.0573
Th 0.8426 -8.3328 3.2809
Se 0.5473 -5.5487 2.1691
As 0.0000 0.0000 0.0000
```

Computed properties:
As for the symmetry: R-3m. The density of states at the Fermi level is 2.26 states/eV per cell.

Of them, 3 has the highest stability.

--- 1 ---
The following is a DFT calculation (GGA-PBE) of a relaxed structure of TiAs3Se.

Structure (extended XYZ):
```
5
Lattice="-4.8106 0.7842 0.2748 -0.7499 -4.7925 0.5488 0.3579 0.4986 4.8431" Properties=species:S:1:pos:R:3 pbc="T T T"
Ti 0.0000 0.0000 0.0000
As -2.4053 0.3921 0.1374
As 0.1790 0.2493 2.4215
As -0.3750 -2.3963 0.2744
Se -2.6013 -1.7548 2.8333
```

Computed properties:
As for the symmetry: Pm-3m. The density of states at the Fermi level is 5.65 states/eV per cell.

--- 2 ---
The following is a DFT calculation (GGA-PBE) of a relaxed structure of TiAs3Se.

Structure (extended XYZ):
```
5
Lattice="4.9107 0.0000 0.0000 0.0000 4.9107 0.0000 0.0000 0.0000 4.9107" Properties=species:S:1:pos:R:3 pbc="T T T"
Ti 2.4554 2.4554 2.4554
As 0.0000 0.0000 2.4554
As 2.4554 0.0000 0.0000
As 0.0000 2.4554 0.0000
Se 0.0000 0.0000 0.0000
```

Computed properties:
As for the symmetry: Pm-3m. The density of states at the Fermi level is 5.65 states/eV per cell.

Of them, 1 has the highest stability.

--- 1 ---
The following is a DFT calculation (GGA-PBE) of a relaxed structure of Ti2AsSe.

Structure (extended XYZ):
```
4
Lattice="-1.7317 -0.2879 -3.2679 -3.5009 -1.2183 -0.1430 -3.7502 5.1967 -0.5760" Properties=species:S:1:pos:R:3 pbc="T T T"
As 0.0000 0.0000 0.0000
Ti -6.8038 2.9573 -2.9716
Ti -2.1790 0.7332 -1.0154
Se -4.4914 1.8453 -1.9935
```

Computed properties:
As for the symmetry: R-3m. The density of states at the Fermi level is 2.67 states/eV per cell.

--- 2 ---
The following is a DFT calculation (GGA-PBE) of a relaxed structure of Ti2AsSe.

Structure (extended XYZ):
```
8
Lattice="5.7711 0.0000 0.0000 0.0000 5.7711 0.0000 2.8855 2.8855 5.7695" Properties=species:S:1:pos:R:3 pbc="T T T"
Ti 1.4629 4.3283 1.4424
Ti 4.3283 4.3485 4.3271
Ti 7.2138 7.1937 4.3271
Ti 4.3081 1.4428 1.4424
Se 5.7711 2.8855 2.8847
Se 0.0000 0.0000 0.0000
As 2.8855 2.8855 0.0000
As 2.8855 5.7711 2.8847
```

Computed properties:
As for the symmetry: I-42d. The density of states at the Fermi level is 12.03 states/eV per cell.

--- 3 ---
The following is a DFT calculation (GGA-PBE) of a relaxed structure of Ti2AsSe.

Structure (extended XYZ):
```
4
Lattice="3.6991 0.0000 0.0000 -1.8496 3.2036 0.0000 0.0000 0.0000 7.6121" Properties=species:S:1:pos:R:3 pbc="T T T"
Se 0.0000 0.0000 0.1833
Ti 1.8496 1.0678 6.4595
Ti 0.0000 0.0000 2.6964
As 1.8496 1.0678 3.9820
```

Computed properties:
As for the symmetry: P3m1. The density of states at the Fermi level is 6.15 states/eV per cell.

--- 4 ---
The following is a DFT calculation (GGA-PBE) of a relaxed structure of Ti2AsSe.

Structure (extended XYZ):
```
4
Lattice="-2.7163 1.3064 -1.9176 -3.1212 -1.7356 -0.0888 -3.9381 3.1796 4.4170" Properties=species:S:1:pos:R:3 pbc="T T T"
Ti -3.4690 2.3972 3.2195
Ti -2.4126 0.6354 0.5228
As -7.8264 2.8879 3.0710
Se -4.8934 1.3846 1.2197
```

Computed properties:
As for the symmetry: R3m. The density of states at the Fermi level is 3.96 states/eV per cell.

Of them, 4 has the highest stability.